Entry 1:
Compound: CeSm2Dy
Source: Alexandria via LeMat-Bulk
Functional: PBE
Structure: relaxed

Geometry as CIF:
```
data_CeSm2Dy
_cell_length_a 3.5737
_cell_length_b 3.5737
_cell_length_c 34.9709
_cell_angle_alpha 90.00
_cell_angle_beta 90.00
_cell_angle_gamma 120.00
_space_group_name_H-M_alt 'R 3 m'
_space_group_IT_number 160
_space_group_name_Hall 'R 3 -2"'
loop_
_atom_site_label
_atom_site_fract_x
_atom_site_fract_y
_atom_site_fract_z
Ce1 0.0000 0.0000 0.0000
Sm1 0.0000 0.0000 0.2505
Sm2 0.0000 0.0000 0.4171
Dy1 0.0000 0.0000 0.8338
```

## Properties
Raw total energy (eV per atom): -4.930
Formation energy (eV/atom): 0.063

=====

Entry 2:
Compound: Ce4SmDy
Source: Alexandria via LeMat-Bulk
Functional: PBE
Structure: relaxed

Geometry as CIF:
```
data_Ce4SmDy
_cell_length_a 8.959
_cell_length_b 8.959
_cell_length_c 8.959
_cell_angle_alpha 90.00
_cell_angle_beta 90.00
_cell_angle_gamma 90.00
_space_group_name_H-M_alt 'F -4 3 m'
_space_group_IT_number 216
_space_group_name_Hall 'F -4 2 3'
loop_
_atom_site_label
_atom_site_fract_x
_atom_site_fract_y
_atom_site_fract_z
Ce1 0.122 0.122 0.122
Sm1 0.000 0.000 0.500
Dy1 0.250 0.250 0.750
```

## Properties
Raw total energy (eV per atom): -5.303
Formation energy (eV/atom): 0.206

=====

Entry 3:
Compound: CeSm2Dy6
Source: Alexandria via LeMat-Bulk
Functional: PBE
Structure: relaxed

Geometry as CIF:
```
data_CeSm2Dy6
_cell_length_a 6.181
_cell_length_b 6.183
_cell_length_c 16.012
_cell_angle_alpha 97.93
_cell_angle_beta 100.04
_cell_angle_gamma 100.94
_space_group_name_H-M_alt 'P -1'
_space_group_IT_number 2
_space_group_name_Hall '-P 1'
loop_
_atom_site_label
_atom_site_fract_x
_atom_site_fract_y
_atom_site_fract_z
Ce1 0.035 0.286 0.250
Sm1 0.208 0.243 0.691
Sm2 0.446 0.982 0.191
Dy1 0.088 0.308 0.885
Dy2 0.107 0.254 0.472
Dy3 0.218 0.865 0.972
Dy4 0.336 0.768 0.401
Dy5 0.367 0.435 0.099
Dy6 0.423 0.703 0.615
```

## Properties
Raw total energy (eV per atom): -4.621
Formation energy (eV/atom): 0.155

=====

Entry 4:
Compound: Ce2Sm5Dy5
Source: Alexandria via LeMat-Bulk
Functional: PBE
Structure: relaxed

Geometry as CIF:
```
data_Ce2Sm5Dy5
_cell_length_a 15.135
_cell_length_b 5.041
_cell_length_c 11.325
_cell_angle_alpha 90.00
_cell_angle_beta 116.52
_cell_angle_gamma 90.00
_space_group_name_H-M_alt 'C 1 2/m 1'
_space_group_IT_number 12
_space_group_name_Hall '-C 2y'
loop_
_atom_site_label
_atom_site_fract_x
_atom_site_fract_y
_atom_site_fract_z
Ce1 0.170 0.000 0.499
Sm1 0.000 0.000 0.000
Sm2 0.082 0.000 0.747
Sm3 0.250 0.000 0.254
Dy1 0.000 0.500 0.500
Dy2 0.085 0.500 0.253
Dy3 0.168 0.500 0.002
```

## Properties
Raw total energy (eV per atom): -4.822
Formation energy (eV/atom): 0.050

=====

Entry 5:
Compound: CeSm6Dy
Source: Alexandria via LeMat-Bulk
Functional: PBE
Structure: relaxed

Geometry as CIF:
```
data_CeSm6Dy
_cell_length_a 5.097
_cell_length_b 5.097
_cell_length_c 10.194
_cell_angle_alpha 90.00
_cell_angle_beta 90.00
_cell_angle_gamma 90.00
_space_group_name_H-M_alt 'P 4/m m m'
_space_group_IT_number 123
_space_group_name_Hall '-P 4 2'
loop_
_atom_site_label
_atom_site_fract_x
_atom_site_fract_y
_atom_site_fract_z
Ce1 0.000 0.000 0.000
Sm1 0.000 0.500 0.249
Sm2 0.500 0.500 0.000
Sm3 0.500 0.500 0.500
Dy1 0.000 0.000 0.500
```

## Properties
Raw total energy (eV per atom): -4.808
Formation energy (eV/atom): 0.048

=====

Entry 6:
Compound: Ce4Sm11Dy9
Source: Alexandria via LeMat-Bulk
Functional: PBE
Structure: relaxed

Geometry as CIF:
```
data_Ce4Sm11Dy9
_cell_length_a 16.921
_cell_length_b 25.215
_cell_length_c 3.664
_cell_angle_alpha 90.00
_cell_angle_beta 90.00
_cell_angle_gamma 90.00
_space_group_name_H-M_alt 'C m m m'
_space_group_IT_number 65
_space_group_name_Hall '-C 2 2'
loop_
_atom_site_label
_atom_site_fract_x
_atom_site_fract_y
_atom_site_fract_z
Ce1 0.152 0.100 0.000
Sm1 0.000 0.135 0.500
Sm2 0.000 0.343 0.500
Sm3 0.000 0.500 0.500
Sm4 0.208 0.000 0.500
Sm5 0.230 0.320 0.500
Dy1 0.000 0.000 0.000
Dy2 0.102 0.237 0.000
Dy3 0.142 0.428 0.000
```

## Properties
Raw total energy (eV per atom): -4.779
Formation energy (eV/atom): 0.099

=====

Entry 7:
Compound: CeSmDy2
Source: Alexandria via LeMat-Bulk
Functional: PBE
Structure: relaxed

Geometry as CIF:
```
data_CeSmDy2
_cell_length_a 3.5564
_cell_length_b 3.5564
_cell_length_c 34.4493
_cell_angle_alpha 90.00
_cell_angle_beta 90.00
_cell_angle_gamma 120.00
_space_group_name_H-M_alt 'R 3 m'
_space_group_IT_number 160
_space_group_name_Hall 'R 3 -2"'
loop_
_atom_site_label
_atom_site_fract_x
_atom_site_fract_y
_atom_site_fract_z
Ce1 0.0000 0.0000 0.0000
Sm1 0.0000 0.0000 0.8341
Dy1 0.0000 0.0000 0.4149
Dy2 0.0000 0.0000 0.5854
```

## Properties
Raw total energy (eV per atom): -4.916
Formation energy (eV/atom): 0.049

=====

Entry 8:
Compound: CeSm6Dy12
Source: Alexandria via LeMat-Bulk
Functional: PBE
Structure: relaxed

Geometry as CIF:
```
data_CeSm6Dy12
_cell_length_a 13.2654
_cell_length_b 13.2654
_cell_length_c 12.4994
_cell_angle_alpha 90.00
_cell_angle_beta 90.00
_cell_angle_gamma 120.00
_space_group_name_H-M_alt 'R -3 m'
_space_group_IT_number 166
_space_group_name_Hall '-R 3 2"'
loop_
_atom_site_label
_atom_site_fract_x
_atom_site_fract_y
_atom_site_fract_z
Ce1 0.0000 0.0000 0.0000
Sm1 0.0401 0.5201 0.6190
Dy1 0.0000 0.2568 0.5000
Dy2 0.0910 0.1820 0.2618
```

## Properties
Raw total energy (eV per atom): -4.496
Formation energy (eV/atom): 0.214

=====

Entry 9:
Compound: CeSm5Dy
Source: Alexandria via LeMat-Bulk
Functional: PBE
Structure: relaxed

Geometry as CIF:
```
data_CeSm5Dy
_cell_length_a 5.367
_cell_length_b 5.629
_cell_length_c 7.862
_cell_angle_alpha 101.34
_cell_angle_beta 90.18
_cell_angle_gamma 90.33
_space_group_name_H-M_alt 'P -1'
_space_group_IT_number 2
_space_group_name_Hall '-P 1'
loop_
_atom_site_label
_atom_site_fract_x
_atom_site_fract_y
_atom_site_fract_z
Ce1 0.000 0.000 0.000
Sm1 0.000 0.000 0.500
Sm2 0.003 0.535 0.787
Sm3 0.499 0.852 0.178
Dy1 0.500 0.500 0.500
```

## Properties
Raw total energy (eV per atom): -4.597
Formation energy (eV/atom): 0.279

=====

Entry 10:
Compound: CeSm15Dy4
Source: Alexandria via LeMat-Bulk
Functional: PBE
Structure: relaxed

Geometry as CIF:
```
data_CeSm15Dy4
_cell_length_a 5.104
_cell_length_b 5.104
_cell_length_c 25.518
_cell_angle_alpha 90.00
_cell_angle_beta 90.00
_cell_angle_gamma 90.00
_space_group_name_H-M_alt 'P 4/m m m'
_space_group_IT_number 123
_space_group_name_Hall '-P 4 2'
loop_
_atom_site_label
_atom_site_fract_x
_atom_site_fract_y
_atom_site_fract_z
Ce1 0.000 0.000 0.000
Sm1 0.000 0.500 0.099
Sm2 0.000 0.500 0.300
Sm3 0.000 0.500 0.500
Sm4 0.500 0.500 0.000
Sm5 0.500 0.500 0.201
Sm6 0.500 0.500 0.400
Dy1 0.000 0.000 0.200
Dy2 0.000 0.000 0.400
```

## Properties
Raw total energy (eV per atom): -4.727
Formation energy (eV/atom): 0.029

=====

Entry 11:
Compound: CeSm12Dy5
Source: Alexandria via LeMat-Bulk
Functional: PBE
Structure: relaxed

Geometry as CIF:
```
data_CeSm12Dy5
_cell_length_a 15.269
_cell_length_b 15.281
_cell_length_c 5.092
_cell_angle_alpha 90.00
_cell_angle_beta 90.00
_cell_angle_gamma 90.00
_space_group_name_H-M_alt 'C m m m'
_space_group_IT_number 65
_space_group_name_Hall '-C 2 2'
loop_
_atom_site_label
_atom_site_fract_x
_atom_site_fract_y
_atom_site_fract_z
Ce1 0.000 0.000 0.000
Sm1 0.000 0.164 0.500
Sm2 0.000 0.334 0.000
Sm3 0.166 0.165 0.000
Sm4 0.166 0.335 0.500
Dy1 0.000 0.500 0.500
Dy2 0.166 0.000 0.500
Dy3 0.167 0.500 0.000
```

## Properties
Raw total energy (eV per atom): -4.724
Formation energy (eV/atom): 0.030

=====

Entry 12:
Compound: CeSm9Dy2
Source: Alexandria via LeMat-Bulk
Functional: PBE
Structure: relaxed

Geometry as CIF:
```
data_CeSm9Dy2
_cell_length_a 5.098
_cell_length_b 5.098
_cell_length_c 15.301
_cell_angle_alpha 90.00
_cell_angle_beta 90.00
_cell_angle_gamma 90.00
_space_group_name_H-M_alt 'P 4/m m m'
_space_group_IT_number 123
_space_group_name_Hall '-P 4 2'
loop_
_atom_site_label
_atom_site_fract_x
_atom_site_fract_y
_atom_site_fract_z
Ce1 0.000 0.000 0.000
Sm1 0.000 0.500 0.165
Sm2 0.000 0.500 0.500
Sm3 0.500 0.500 0.000
Sm4 0.500 0.500 0.334
Dy1 0.000 0.000 0.333
```

## Properties
Raw total energy (eV per atom): -4.764
Formation energy (eV/atom): 0.037

=====

Entry 13:
Compound: CeSmDy6
Source: Alexandria via LeMat-Bulk
Functional: PBE
Structure: relaxed

Geometry as CIF:
```
data_CeSmDy6
_cell_length_a 5.020
_cell_length_b 5.020
_cell_length_c 10.030
_cell_angle_alpha 90.00
_cell_angle_beta 90.00
_cell_angle_gamma 90.00
_space_group_name_H-M_alt 'P 4/m m m'
_space_group_IT_number 123
_space_group_name_Hall '-P 4 2'
loop_
_atom_site_label
_atom_site_fract_x
_atom_site_fract_y
_atom_site_fract_z
Ce1 0.000 0.000 0.000
Sm1 0.000 0.000 0.500
Dy1 0.000 0.500 0.247
Dy2 0.500 0.500 0.000
Dy3 0.500 0.500 0.500
```

## Properties
Raw total energy (eV per atom): -4.741
Formation energy (eV/atom): 0.042

=====

Entry 14:
Compound: CeSm4Dy
Source: Alexandria via LeMat-Bulk
Functional: PBE
Structure: relaxed

Geometry as CIF:
```
data_CeSm4Dy
_cell_length_a 6.693
_cell_length_b 11.689
_cell_length_c 10.210
_cell_angle_alpha 90.00
_cell_angle_beta 90.00
_cell_angle_gamma 90.00
_space_group_name_H-M_alt 'I m m a'
_space_group_IT_number 74
_space_group_name_Hall '-I 2b 2'
loop_
_atom_site_label
_atom_site_fract_x
_atom_site_fract_y
_atom_site_fract_z
Ce1 0.000 0.000 0.000
Sm1 0.000 0.003 0.334
Sm2 0.249 0.250 0.920
Dy1 0.250 0.250 0.250
```

## Properties
Raw total energy (eV per atom): -4.638
Formation energy (eV/atom): 0.264

=====

Entry 15:
Compound: CeSm2Dy
Source: Alexandria via LeMat-Bulk
Functional: PBE
Structure: relaxed

Geometry as CIF:
```
data_CeSm2Dy
_cell_length_a 3.4510
_cell_length_b 3.4510
_cell_length_c 37.3378
_cell_angle_alpha 90.00
_cell_angle_beta 90.00
_cell_angle_gamma 120.00
_space_group_name_H-M_alt 'R -3 m'
_space_group_IT_number 166
_space_group_name_Hall '-R 3 2"'
loop_
_atom_site_label
_atom_site_fract_x
_atom_site_fract_y
_atom_site_fract_z
Ce1 0.0000 0.0000 0.0000
Sm1 0.0000 0.0000 0.0884
Dy1 0.0000 0.0000 0.5000
```

## Properties
Raw total energy (eV per atom): -4.811
Formation energy (eV/atom): 0.182

=====

Entry 16:
Compound: CeSm2Dy3
Source: Alexandria via LeMat-Bulk
Functional: PBE
Structure: relaxed

Geometry as CIF:
```
data_CeSm2Dy3
_cell_length_a 20.102
_cell_length_b 3.537
_cell_length_c 14.786
_cell_angle_alpha 90.00
_cell_angle_beta 132.11
_cell_angle_gamma 90.00
_space_group_name_H-M_alt 'C 1 2/m 1'
_space_group_IT_number 12
_space_group_name_Hall '-C 2y'
loop_
_atom_site_label
_atom_site_fract_x
_atom_site_fract_y
_atom_site_fract_z
Ce1 0.021 0.000 0.144
Sm1 0.191 0.000 0.137
Sm2 0.229 0.500 0.378
Dy1 0.065 0.500 0.397
Dy2 0.106 0.000 0.645
Dy3 0.149 0.500 0.890
```

## Properties
Raw total energy (eV per atom): -4.775
Formation energy (eV/atom): 0.088

=====

Entry 17:
Compound: CeSm2Dy
Source: Alexandria via LeMat-Bulk
Functional: PBE
Structure: relaxed

Geometry as CIF:
```
data_CeSm2Dy
_cell_length_a 3.557
_cell_length_b 3.557
_cell_length_c 10.151
_cell_angle_alpha 90.00
_cell_angle_beta 90.00
_cell_angle_gamma 90.00
_space_group_name_H-M_alt 'P 4/m m m'
_space_group_IT_number 123
_space_group_name_Hall '-P 4 2'
loop_
_atom_site_label
_atom_site_fract_x
_atom_site_fract_y
_atom_site_fract_z
Ce1 0.000 0.000 0.000
Sm1 0.500 0.500 0.245
Dy1 0.000 0.000 0.500
```

## Properties
Raw total energy (eV per atom): -4.930
Formation energy (eV/atom): 0.064

=====

Entry 18:
Compound: CeSm2Dy4
Source: Alexandria via LeMat-Bulk
Functional: PBE
Structure: relaxed

Geometry as CIF:
```
data_CeSm2Dy4
_cell_length_a 6.223
_cell_length_b 3.587
_cell_length_c 20.266
_cell_angle_alpha 90.00
_cell_angle_beta 95.95
_cell_angle_gamma 90.00
_space_group_name_H-M_alt 'C 1 m 1'
_space_group_IT_number 8
_space_group_name_Hall 'C -2y'
loop_
_atom_site_label
_atom_site_fract_x
_atom_site_fract_y
_atom_site_fract_z
Ce1 0.000 0.000 0.000
Sm1 0.317 0.500 0.427
Sm2 0.407 0.500 0.714
Dy1 0.098 0.000 0.283
Dy2 0.125 0.500 0.858
Dy3 0.195 0.000 0.571
Dy4 0.220 0.500 0.142
```

## Properties
Raw total energy (eV per atom): -4.785
Formation energy (eV/atom): 0.040

=====

Entry 19:
Compound: CeSm3Dy12
Source: Alexandria via LeMat-Bulk
Functional: PBE
Structure: relaxed

Geometry as CIF:
```
data_CeSm3Dy12
_cell_length_a 5.032
_cell_length_b 5.032
_cell_length_c 20.103
_cell_angle_alpha 90.00
_cell_angle_beta 90.00
_cell_angle_gamma 90.00
_space_group_name_H-M_alt 'P 4/m m m'
_space_group_IT_number 123
_space_group_name_Hall '-P 4 2'
loop_
_atom_site_label
_atom_site_fract_x
_atom_site_fract_y
_atom_site_fract_z
Ce1 0.000 0.000 0.000
Sm1 0.000 0.000 0.248
Sm2 0.000 0.000 0.500
Dy1 0.000 0.500 0.123
Dy2 0.000 0.500 0.374
Dy3 0.500 0.500 0.000
Dy4 0.500 0.500 0.250
Dy5 0.500 0.500 0.500
```

## Properties
Raw total energy (eV per atom): -4.677
Formation energy (eV/atom): 0.030

=====

Entry 20:
Compound: CeSm4Dy10
Source: Alexandria via LeMat-Bulk
Functional: PBE
Structure: relaxed

Geometry as CIF:
```
data_CeSm4Dy10
_cell_length_a 11.180
_cell_length_b 11.180
_cell_length_c 7.983
_cell_angle_alpha 90.00
_cell_angle_beta 90.00
_cell_angle_gamma 90.00
_space_group_name_H-M_alt 'I 4/m m m'
_space_group_IT_number 139
_space_group_name_Hall '-I 4 2'
loop_
_atom_site_label
_atom_site_fract_x
_atom_site_fract_y
_atom_site_fract_z
Ce1 0.000 0.000 0.000
Sm1 0.226 0.226 0.000
Dy1 0.000 0.207 0.294
Dy2 0.000 0.500 0.250
```

## Properties
Raw total energy (eV per atom): -4.465
Formation energy (eV/atom): 0.257

=====

Entry 21:
Compound: CeSm3Dy8
Source: Alexandria via LeMat-Bulk
Functional: PBE
Structure: relaxed

Geometry as CIF:
```
data_CeSm3Dy8
_cell_length_a 8.674
_cell_length_b 8.674
_cell_length_c 11.309
_cell_angle_alpha 90.00
_cell_angle_beta 90.00
_cell_angle_gamma 90.00
_space_group_name_H-M_alt 'I -4 2 m'
_space_group_IT_number 121
_space_group_name_Hall 'I -4 2'
loop_
_atom_site_label
_atom_site_fract_x
_atom_site_fract_y
_atom_site_fract_z
Ce1 0.000 0.000 0.000
Sm1 0.000 0.000 0.500
Sm2 0.000 0.500 0.250
Dy1 0.124 0.124 0.237
Dy2 0.233 0.233 0.972
```

## Properties
Raw total energy (eV per atom): -4.138
Formation energy (eV/atom): 0.604